# 1
This record from Alexandria via LeMat-Bulk describes a geometry-optimized Y5Tm5Sc structure. The functional is PBE.

Cell: 9.7631 9.7631 6.8674 Å, 110.47 110.47 34.67°
Fractional positions:
Y 0.0000 0.0000 0.0000
Y 0.3235 0.3235 0.0678
Y 0.3234 0.3234 0.5787
Y 0.6766 0.6766 0.4213
Y 0.6765 0.6765 0.9322
Tm 0.1227 0.1227 0.6237
Tm 0.1692 0.1692 0.1699
Tm 0.5000 0.5000 0.5000
Tm 0.8308 0.8308 0.8301
Tm 0.8773 0.8773 0.3763
Sc 0.5000 0.5000 0.0000

Output
Fermi-level density of states ... 17.18 states/eV per cell

---

# 2
This record from Alexandria via LeMat-Bulk describes a geometry-optimized YTm12Sc6 structure. The functional is PBE.

Cell: 8.9458 8.9458 8.9458 Å, 107.51 107.51 107.51°
Fractional positions:
Y 0.0000 0.0000 0.0000
Tm 0.1124 0.5000 0.8876
Tm 0.1124 0.8876 0.5000
Tm 0.1449 0.3701 0.3701
Tm 0.3701 0.1449 0.3701
Tm 0.3701 0.3701 0.1449
Tm 0.5000 0.1124 0.8876
Tm 0.5000 0.8876 0.1124
Tm 0.6299 0.6299 0.8551
Tm 0.6299 0.8551 0.6299
Tm 0.8551 0.6299 0.6299
Tm 0.8876 0.1124 0.5000
Tm 0.8876 0.5000 0.1124
Sc 0.2763 0.6894 0.6894
Sc 0.3106 0.3106 0.7237
Sc 0.3106 0.7237 0.3106
Sc 0.6894 0.2763 0.6894
Sc 0.6894 0.6894 0.2763
Sc 0.7237 0.3106 0.3106

Output
E above lowest polymorph ... 0.0306 eV per atom
Fermi-level density of states ... 26.73 states/eV per cell

---

# 3
This record from Alexandria via LeMat-Bulk describes a geometry-optimized Y2TmSc structure. The functional is PBE.

Cell: 5.9958 6.9410 6.9423 Å, 60.33 73.76 73.61°
Fractional positions:
Y 0.2494 0.3765 0.3732
Y 0.2500 0.8729 0.8766
Y 0.7500 0.1271 0.1234
Y 0.7506 0.6235 0.6268
Tm 0.2537 0.8740 0.3738
Tm 0.7463 0.1260 0.6262
Sc 0.2462 0.3759 0.8762
Sc 0.7538 0.6241 0.1238

Output
E above lowest polymorph ... 0.0312 eV per atom
Fermi-level density of states ... 13.82 states/eV per cell

---

# 4
This record from Alexandria via LeMat-Bulk describes a geometry-optimized Y7Tm4Sc structure. The functional is PBE.

Cell: 9.8909 9.8909 5.8873 Å, 91.64 91.64 40.95°
Fractional positions:
Y 0.0000 0.0000 0.0000
Y 0.1866 0.1866 0.2533
Y 0.2856 0.2856 0.7633
Y 0.4605 0.4605 0.7462
Y 0.5395 0.5395 0.2538
Y 0.7144 0.7144 0.2367
Y 0.8134 0.8134 0.7467
Tm 0.1348 0.5961 0.2626
Tm 0.4039 0.8652 0.7374
Tm 0.5961 0.1348 0.2626
Tm 0.8652 0.4039 0.7374
Sc 0.0000 0.0000 0.5000

Output
Fermi-level density of states ... 23.86 states/eV per cell

---

# 5
This record from Alexandria via LeMat-Bulk describes a geometry-optimized Y2Tm3Sc3 structure. The functional is PBE.

Cell: 10.2816 10.2816 10.2816 Å, 152.95 152.55 38.92°
Fractional positions:
Y 0.2492 0.2492 0.0000
Y 0.7508 0.7508 0.0000
Tm 0.0000 0.0000 0.0000
Tm 0.3793 0.8793 0.5000
Tm 0.6207 0.1207 0.5000
Sc 0.1220 0.6220 0.5000
Sc 0.5000 0.5000 0.0000
Sc 0.8780 0.3780 0.5000

Output
E above lowest polymorph ... 0.0000 eV per atom
Fermi-level density of states ... 13.51 states/eV per cell

---

# 6
This record from Alexandria via LeMat-Bulk describes a geometry-optimized Y2Tm5Sc12 structure. The functional is PBE.

Cell: 8.6445 8.6445 8.0792 Å, 91.49 91.49 59.29°
Fractional positions:
Y 0.1892 0.8108 0.0000
Y 0.8108 0.1892 0.0000
Tm 0.2018 0.2018 0.0025
Tm 0.2632 0.2632 0.4208
Tm 0.5000 0.5000 0.5000
Tm 0.7368 0.7368 0.5792
Tm 0.7982 0.7982 0.9975
Sc 0.0526 0.0526 0.3354
Sc 0.0635 0.6827 0.3460
Sc 0.1643 0.5241 0.7495
Sc 0.3173 0.9365 0.6540
Sc 0.4064 0.4064 0.1173
Sc 0.4759 0.8357 0.2505
Sc 0.5241 0.1643 0.7495
Sc 0.5936 0.5936 0.8827
Sc 0.6827 0.0635 0.3460
Sc 0.8357 0.4759 0.2505
Sc 0.9365 0.3173 0.6540
Sc 0.9474 0.9474 0.6646

Output
Fermi-level density of states ... 31.78 states/eV per cell

---

# 7
This record from Alexandria via LeMat-Bulk describes a geometry-optimized Y5Tm4Sc2 structure. The functional is PBE.

Cell: 11.5451 11.5451 8.5507 Å, 105.09 105.09 17.45°
Fractional positions:
Y 0.0000 0.0000 0.0000
Y 0.2764 0.2764 0.1868
Y 0.3644 0.3644 0.9147
Y 0.6356 0.6356 0.0853
Y 0.7236 0.7236 0.8132
Tm 0.1810 0.1810 0.4525
Tm 0.4556 0.4556 0.6323
Tm 0.5444 0.5444 0.3677
Tm 0.8190 0.8190 0.5475
Sc 0.0889 0.0889 0.7215
Sc 0.9111 0.9111 0.2785

Output
E above lowest polymorph ... 0.0000 eV per atom
Fermi-level density of states ... 17.54 states/eV per cell

---

# 8
This record from Alexandria via LeMat-Bulk describes a geometry-optimized YTm5Sc structure. The functional is PBE.

Cell: 9.0304 3.5542 13.3816 Å, 90.00 101.85 90.00°
Fractional positions:
Y 0.1128 0.2500 0.1370
Y 0.8872 0.7500 0.8630
Tm 0.0057 0.7500 0.3658
Tm 0.2025 0.2500 0.8861
Tm 0.3255 0.2500 0.5066
Tm 0.3488 0.7500 0.7230
Tm 0.4179 0.7500 0.0818
Tm 0.5821 0.2500 0.9182
Tm 0.6512 0.2500 0.2770
Tm 0.6745 0.7500 0.4934
Tm 0.7975 0.7500 0.1139
Tm 0.9943 0.2500 0.6342
Sc 0.3521 0.7500 0.3075
Sc 0.6479 0.2500 0.6925

Output
E above lowest polymorph ... 0.0000 eV per atom
Fermi-level density of states ... 21.61 states/eV per cell

---

no.,energy of formation (eV/atom)
1,0.2832
2,0.4350
3,0.0508
4,0.1393
5,0.0544
6,0.1398
7,0.0463
8,0.0644